No. 1
Material: BaLiPS2
Method: DFT, PBE
State: relaxed

## Properties
E_tot (eV per atom): -3.15
Polymorph energy (0 for the lowest one) (meV per atom): 845
Magnetization (μB per cell): 4.02
Theoretical density (g cm⁻³): 1.80
ΔE_f (raw) (eV per atom): 0.3459
N(E_F) (states/eV per cell): 6.3

The structure in CIF format:
```
data_BaLiPS2
_chemical_formula_sum 'Ba1 Li1 P1 S2'
_space_group_name_H-M_alt 'P 4/m m m'
_space_group_IT_number 123
_space_group_name_Hall '-P 4 2'
_cell_length_a 5.952
_cell_length_b 5.952
_cell_length_c 6.245
_cell_angle_alpha 90.00
_cell_angle_beta 90.00
_cell_angle_gamma 90.00
loop_
_atom_site_label
_atom_site_type_symbol
_atom_site_fract_x
_atom_site_fract_y
_atom_site_fract_z
Ba1 Ba 0.000 0.000 0.000
Li1 Li 0.500 0.500 0.500
P1 P 0.000 0.000 0.500
S1 S 0.000 0.500 0.000
```

No. 2
Material: LiPmCd
Method: DFT, PBE
State: relaxed

## Properties
E_tot (eV per atom): -2.70
ΔE_f (eV/atom): -0.172
Polymorph energy (0 for the lowest one) (meV per atom): 20
Magnetization (μB per cell): 0.00
Theoretical density (g cm⁻³): 5.93
N(E_F) (states/eV per cell): 4.8

The structure in CIF format:
```
data_LiPmCd
_chemical_formula_sum 'Li2 Pm2 Cd2'
_space_group_name_H-M_alt 'P 4/n m m'
_space_group_IT_number 129
_cell_length_a 3.536
_cell_length_b 3.536
_cell_length_c 11.832
_cell_angle_alpha 90.00
_cell_angle_beta 90.00
_cell_angle_gamma 90.00
loop_
_space_group_symop_operation_xyz
'x,y,z'
'-x,-y,-z'
'-y+1/2,x,z'
'y+1/2,-x,-z'
'-x+1/2,-y+1/2,z'
'x+1/2,y+1/2,-z'
'y,-x+1/2,z'
'-y,x+1/2,-z'
'x+1/2,-y,-z'
'-x+1/2,y,z'
'-y,-x,-z'
'y,x,z'
'-x,y+1/2,-z'
'x,-y+1/2,z'
'y+1/2,x+1/2,-z'
'-y+1/2,-x+1/2,z'
loop_
_atom_site_label
_atom_site_type_symbol
_atom_site_fract_x
_atom_site_fract_y
_atom_site_fract_z
Li1 Li 0.250 0.250 0.070
Pm1 Pm 0.250 0.250 0.386
Cd1 Cd 0.250 0.250 0.806
```

Q: Among the records above, which one has the highest N(E_F)?
A: BaLiPS2

Q: polymorph energy (0 for the lowest one) of number 2 (LiPmCd)?
A: 20 meV per atom

Q: Among the records above, which one has the lowest theoretical density?
A: BaLiPS2

Copy entry 2 word for word.
Material: LiPmCd
Method: DFT, PBE
State: relaxed

## Properties
E_tot (eV per atom): -2.70
ΔE_f (eV/atom): -0.172
Polymorph energy (0 for the lowest one) (meV per atom): 20
Magnetization (μB per cell): 0.00
Theoretical density (g cm⁻³): 5.93
N(E_F) (states/eV per cell): 4.8

The structure in CIF format:
```
data_LiPmCd
_chemical_formula_sum 'Li2 Pm2 Cd2'
_space_group_name_H-M_alt 'P 4/n m m'
_space_group_IT_number 129
_cell_length_a 3.536
_cell_length_b 3.536
_cell_length_c 11.832
_cell_angle_alpha 90.00
_cell_angle_beta 90.00
_cell_angle_gamma 90.00
loop_
_space_group_symop_operation_xyz
'x,y,z'
'-x,-y,-z'
'-y+1/2,x,z'
'y+1/2,-x,-z'
'-x+1/2,-y+1/2,z'
'x+1/2,y+1/2,-z'
'y,-x+1/2,z'
'-y,x+1/2,-z'
'x+1/2,-y,-z'
'-x+1/2,y,z'
'-y,-x,-z'
'y,x,z'
'-x,y+1/2,-z'
'x,-y+1/2,z'
'y+1/2,x+1/2,-z'
'-y+1/2,-x+1/2,z'
loop_
_atom_site_label
_atom_site_type_symbol
_atom_site_fract_x
_atom_site_fract_y
_atom_site_fract_z
Li1 Li 0.250 0.250 0.070
Pm1 Pm 0.250 0.250 0.386
Cd1 Cd 0.250 0.250 0.806
```